# 1
DFT (PBE-GGA) results for an optimized crystal structure of MoOsRh2.

The space group is R3m (No. 160, hexagonal axes) and the conventional cell measures 2.7476, 2.7476 and 26.8743 Å, with angles of 90.00, 90.00 and 120.00 degrees. The inequivalent atoms are Mo at (0.0000, 0.0000, 0.0000), Os at (0.0000, 0.0000, 0.2478), Rh at (0.0000, 0.0000, 0.5001) and Rh at (0.0000, 0.0000, 0.7481).

For the density of states at the Fermi level, the calculation gives 1.207 states/eV/atom. The energy of formation from the pure elements is 29 meV per atom. The total magnetization comes out at 0.00 μB/f.u. The value obtained for the energy relative to the lowest polymorph listed for this composition is 0.2174 eV per atom. As for the volume: 14.642 Å³ per atom.


# 2
DFT (PBE-GGA) results for an optimized crystal structure of Li2CdIrF8.

The space group is P2/m (No. 10) and the conventional cell measures 4.757, 6.843 and 4.772 Å, with angles of 90.00, 91.36 and 90.00 degrees. The inequivalent atoms are Li at (0.000, 0.222, 0.000), Cd at (0.500, 0.000, 0.500), Ir at (0.500, 0.500, 0.500), F at (0.187, 0.000, 0.814), F at (0.217, 0.500, 0.786) and F at (0.298, 0.285, 0.301).

For the density of states at the Fermi level, the calculation gives 0.468 states/eV/atom. The calculation puts the formation energy from raw total energies at -2.14 eV per atom. The total magnetization comes out at 1.00 μB/f.u. As for the volume: 12.938 Å³ per atom.


# 3
DFT (PBE-GGA) results for an optimized crystal structure of ReAgS2Cl.

The space group is P4/mmm (No. 123) and the conventional cell measures 4.767, 4.767 and 4.624 Å, with angles of 90.00, 90.00 and 90.00 degrees. The inequivalent atoms are Re at (0.000, 0.000, 0.000), Ag at (0.500, 0.500, 0.500), S at (0.000, 0.500, 0.500) and Cl at (0.500, 0.500, 0.000).

For the density of states at the Fermi level, the calculation gives 0.543 states/eV/atom. The calculation puts the formation energy from raw total energies at 1.42 eV per atom. The total magnetization comes out at 4.49 μB/f.u. The value obtained for the energy relative to the lowest polymorph listed for this composition is 1.1941 eV per atom. As for the volume: 21.010 Å³ per atom.


# 4
DFT (PBE-GGA) results for an optimized crystal structure of K2MgHg.

The space group is Immm (No. 71) and the conventional cell measures 5.505, 5.525 and 10.355 Å, with angles of 90.00, 90.00 and 90.00 degrees. The inequivalent atoms are K at (0.000, 0.000, 0.250), Mg at (0.000, 0.500, 0.000) and Hg at (0.000, 0.500, 0.500).

For the density of states at the Fermi level, the calculation gives 0.514 states/eV/atom. The energy of formation from the pure elements is 36 meV per atom. The total magnetization comes out at 0.00 μB/f.u. The value obtained for the energy relative to the lowest polymorph listed for this composition is 0.0984 eV per atom. As for the volume: 39.375 Å³ per atom.


# 5
DFT (PBE-GGA) results for an optimized crystal structure of Pr3NdMg8.

The space group is R3m (No. 160, hexagonal axes) and the conventional cell measures 6.1619, 6.1619 and 30.0712 Å, with angles of 90.00, 90.00 and 120.00 degrees. The inequivalent atoms are Pr at (0.0000, 0.0000, 0.0000), Pr at (0.0000, 0.0000, 0.1249), Pr at (0.0000, 0.0000, 0.6247), Nd at (0.0000, 0.0000, 0.5000), Mg at (0.0000, 0.0000, 0.3123), Mg at (0.0000, 0.0000, 0.8123), Mg at (0.0003, 0.5001, 0.0625) and Mg at (0.9999, 0.4999, 0.5622).

For the density of states at the Fermi level, the calculation gives 0.922 states/eV/atom. The energy of formation from the pure elements is -111 meV per atom. The total magnetization comes out at 0.00 μB/f.u. As for the volume: 27.467 Å³ per atom.


# 6
DFT (PBE-GGA) results for an optimized crystal structure of InHgBr2.

The space group is P4/mmm (No. 123) and the conventional cell measures 5.470, 5.470 and 3.912 Å, with angles of 90.00, 90.00 and 90.00 degrees. The inequivalent atoms are In at (0.000, 0.000, 0.000), Hg at (0.500, 0.500, 0.000) and Br at (0.000, 0.500, 0.500).

For the density of states at the Fermi level, the calculation gives 0.667 states/eV/atom. The calculation puts the formation energy from raw total energies at -0.32 eV per atom. The total magnetization comes out at 0.00 μB/f.u. The value obtained for the energy relative to the lowest polymorph listed for this composition is 0.2485 eV per atom. As for the volume: 29.260 Å³ per atom.


# 7
DFT (PBE-GGA) results for an optimized crystal structure of LiDy4Sc3S8.

The space group is R-3m (No. 166, hexagonal axes) and the conventional cell measures 7.6196, 7.6196 and 18.5468 Å, with angles of 90.00, 90.00 and 120.00 degrees. The inequivalent atoms are Li at (0.0000, 0.0000, 0.0000), Dy at (0.0000, 0.0000, 0.5000), Dy at (0.0000, 0.5000, 0.5000), Sc at (0.0000, 0.5000, 0.0000), S at (0.0000, 0.0000, 0.2551) and S at (0.0018, 0.5009, 0.7444).

For the density of states at the Fermi level, the calculation gives 0.481 states/eV/atom. The calculation puts the formation energy from raw total energies at -1.91 eV per atom. The total magnetization comes out at 0.00 μB/f.u. As for the volume: 19.428 Å³ per atom.


# 8
DFT (PBE-GGA) results for an optimized crystal structure of La2Ho7Tm.

The space group is P-1 (No. 2) and the conventional cell measures 6.159, 6.175 and 9.441 Å, with angles of 109.00, 102.40 and 99.75 degrees. The inequivalent atoms are La at (0.100, 0.199, 0.202), Ho at (0.201, 0.401, 0.899), Ho at (0.300, 0.598, 0.599), Ho at (0.403, 0.802, 0.302), Ho at (0.500, 0.000, 0.000) and Tm at (0.000, 0.000, 0.500).

For the density of states at the Fermi level, the calculation gives 1.372 states/eV/atom. The energy of formation from the pure elements is 27 meV per atom. The total magnetization comes out at 0.00 μB/f.u. The value obtained for the energy relative to the lowest polymorph listed for this composition is 0.0000 eV per atom. As for the volume: 32.026 Å³ per atom.


# 9
DFT (PBE-GGA) results for an optimized crystal structure of YBe2Rh2.

The space group is P4/mbm (No. 127) and the conventional cell measures 6.988, 6.988 and 2.912 Å, with angles of 90.00, 90.00 and 90.00 degrees. The inequivalent atoms are Y at (0.000, 0.000, 0.000), Be at (0.130, 0.370, 0.500) and Rh at (0.149, 0.649, 0.000).

For the density of states at the Fermi level, the calculation gives 0.226 states/eV/atom. The energy of formation from the pure elements is -455 meV per atom. The total magnetization comes out at 0.00 μB/f.u. The value obtained for the energy relative to the lowest polymorph listed for this composition is 0.2165 eV per atom. As for the volume: 14.220 Å³ per atom.


# 10
DFT (PBE-GGA) results for an optimized crystal structure of CuPdAu2.

The space group is P4/mmm (No. 123) and the conventional cell measures 4.003, 4.003 and 3.998 Å, with angles of 90.00, 90.00 and 90.00 degrees. The inequivalent atoms are Cu at (0.000, 0.000, 0.000), Pd at (0.500, 0.500, 0.000) and Au at (0.000, 0.500, 0.500).

For the density of states at the Fermi level, the calculation gives 0.253 states/eV/atom. The energy of formation from the pure elements is -92 meV per atom. The total magnetization comes out at 0.00 μB/f.u. The value obtained for the energy relative to the lowest polymorph listed for this composition is 0.0000 eV per atom. As for the volume: 16.014 Å³ per atom.


# 11
DFT (PBE-GGA) results for an optimized crystal structure of Ce2TcP3.

The space group is C2/c (No. 15) and the conventional cell measures 11.280, 5.777 and 8.005 Å, with angles of 90.00, 110.76 and 90.00 degrees. The inequivalent atoms are Ce at (0.183, 0.002, 0.092), Tc at (0.000, 0.416, 0.750), P at (0.000, 0.007, 0.750) and P at (0.127, 0.497, 0.563).

For the density of states at the Fermi level, the calculation gives 0.792 states/eV/atom. The energy of formation from the pure elements is -1020 meV per atom. The total magnetization comes out at 0.00 μB/f.u. As for the volume: 20.326 Å³ per atom.


# 12
DFT (PBE-GGA) results for an optimized crystal structure of HfCd.

The space group is P6_3/m (No. 176) and the conventional cell measures 8.3645, 8.3645 and 4.7607 Å, with angles of 90.00, 90.00 and 120.00 degrees. The inequivalent atoms are Hf at (0.1111, 0.4848, 0.2500) and Cd at (0.0572, 0.2510, 0.7500).

For the density of states at the Fermi level, the calculation gives 0.957 states/eV/atom. The energy of formation from the pure elements is 448 meV per atom. The total magnetization comes out at 0.00 μB/f.u. As for the volume: 24.038 Å³ per atom.